DFT (GGA-PBEsol) results for an optimized crystal structure of BaSr3Mn4O12. Values from VASP.

Structure (Quantum ESPRESSO input):
```
&SYSTEM
  ibrav = 0, nat = 20, ntyp = 4
/
ATOMIC_SPECIES
Ba 137.33 Ba.upf
Mn 54.94 Mn.upf
O 16.00 O.upf
Sr 87.62 Sr.upf
CELL_PARAMETERS angstrom
-1.9647 -4.6163 -2.1879
4.9871 0.0537 2.2547
-3.6151 -2.2768 8.0502
ATOMIC_POSITIONS crystal
Ba 0.3333 0.6667 0.5000
Mn 0.3333 0.6667 0.8636
Mn 0.6667 0.3333 0.3630
Mn 0.6667 0.3333 0.6370
Mn 0.3333 0.6667 0.1364
O 0.8170 0.1830 0.5000
O 0.3659 0.1830 0.5000
O 0.9958 0.4979 0.7553
O 0.6380 0.8190 0.0000
O 0.5021 0.0042 0.2447
O 0.1810 0.8190 0.0000
O 0.5021 0.4979 0.7553
O 0.5021 0.4979 0.2447
O 0.1810 0.3620 0.0000
O 0.8170 0.6341 0.5000
O 0.9958 0.4979 0.2447
O 0.5021 0.0042 0.7553
Sr 0.0000 0.0000 0.7638
Sr 0.0000 0.0000 0.2362
Sr 0.6667 0.3333 0.0000
```

## Properties
Magnetic moment ... 12.002 μB/cell
ΔE_f (raw) ... -2.28 eV/atom
Total energy ... -7.762 eV per atom
Volume ... 11.8 Å³ per atom
Fermi-level density of states ... 1.05 states/eV/cell